No. 1
{"formula": "Dy2Y2Br2NCl3", "functional": "PBE-GGA", "state": "relaxed", "final_energy_ha_per_atom": -0.20900, "density_g_cm3": 5.4, "lattice_angstrom": [[-4.4767, -7.6372, -0.5704], [-1.3664, -8.4357, -2.3801], [3.7517, -0.7018, 6.7577]], "species": ["Br", "Br", "Cl", "Cl", "Cl", "Dy", "Dy", "N", "Y", "Y"], "frac_coords": [[0.8284, 0.8284, 0.1848], [0.1716, 0.1716, 0.8152], [0.1591, 0.1591, 0.3391], [0.5000, 0.5000, 0.5000], [0.8409, 0.8409, 0.6609], [0.6379, 0.6379, 0.0749], [0.3621, 0.3621, 0.9251], [0.5000, 0.5000, 0.0000], [0.9995, 0.9995, 0.2080], [0.0005, 0.0005, 0.7920]]}



No. 2
{"formula": "Dy2PBrCl", "functional": "PBE-GGA", "state": "relaxed", "final_energy_ha_per_atom": -0.20183, "density_g_cm3": 5.8, "lattice_angstrom": [[3.9612, 0.0000, 0.0000], [-1.9806, 3.4305, 0.0000], [0.0000, 0.0000, 9.9988]], "species": ["Br", "Cl", "Dy", "Dy", "P"], "frac_coords": [[0.0000, 0.0000, 0.8336], [0.3333, 0.6667, 0.1787], [0.0000, 0.0000, 0.3423], [0.3333, 0.6667, 0.6495], [0.6667, 0.3333, 0.4958]]}